A) # GaCI2O GGA-PBE relaxed
# Size of the total moment = 0.19 μB/cell
# Calculated density = 4.9 g cm⁻³
data_GaCI2O
_cell_length_a 6.195
_cell_length_b 6.195
_cell_length_c 3.099
_cell_angle_alpha 90.00
_cell_angle_beta 90.00
_cell_angle_gamma 90.00
_space_group_name_H-M_alt 'P 4/m m m'
_space_group_IT_number 123
_space_group_name_Hall '-P 4 2'
loop_
_atom_site_label
_atom_site_type_symbol
_atom_site_fract_x
_atom_site_fract_y
_atom_site_fract_z
Ga1 Ga 0.000 0.000 0.000
C1 C 0.500 0.500 0.500
I1 I 0.000 0.500 0.500
O1 O 0.500 0.500 0.000

B) # GaCI2O GGA-PBE relaxed
# Size of the total moment = 1.37 μB/cell
# Calculated density = 4.9 g cm⁻³
data_GaCI2O
_cell_length_a 5.812
_cell_length_b 5.812
_cell_length_c 3.533
_cell_angle_alpha 90.00
_cell_angle_beta 90.00
_cell_angle_gamma 90.00
_space_group_name_H-M_alt 'P 4/m m m'
_space_group_IT_number 123
_space_group_name_Hall '-P 4 2'
loop_
_atom_site_label
_atom_site_type_symbol
_atom_site_fract_x
_atom_site_fract_y
_atom_site_fract_z
Ga1 Ga 0.000 0.000 0.000
C1 C 0.500 0.500 0.500
I1 I 0.000 0.500 0.000
O1 O 0.000 0.000 0.500

Name the least stable of them. B).